# 1
Compound: CoOs2Pt
Source: Alexandria via LeMat-Bulk
Functional: GGA-PBE
Structure: optimized geometry

Calculated values
Energy above the most stable polymorph in this dataset ... 0.141 eV/atom
Size of the total moment ... 0.993 μB/f.u.
Uncorrected energy ... -8.67 eV/atom
DFT formation energy ... 0.92 eV/f.u.
Symmetry ... P4/mmm

Cell lengths 2.6893, 2.6893, 7.5903 Å; angles 90.00, 90.00, 90.00 degrees
Last column: nearest neighbours and their distance in Å.
Element x y z (fractional)
Co 0.5000 0.5000 0.7500  8 Os 2.58, 4 Co 2.69
Os 0.0000 0.0000 0.5195  4 Co 2.58, 4 Os 2.69, 4 Pt 2.79
Os 0.0000 0.0000 0.9805  4 Co 2.58, 4 Os 2.69, 4 Pt 2.79
Pt 0.5000 0.5000 0.2500  4 Pt 2.69, 8 Os 2.79

---

# 2
Compound: CoOs2Pt
Source: Alexandria via LeMat-Bulk
Functional: GGA-PBE
Structure: optimized geometry

Calculated values
Energy above the most stable polymorph in this dataset ... 0.066 eV/atom
Size of the total moment ... 1.321 μB/f.u.
Uncorrected energy ... -8.75 eV/atom
DFT formation energy ... 0.62 eV/f.u.
Symmetry ... C2/m

Cell lengths 4.6620, 4.6620, 4.6797 Å; angles 80.10, 80.10, 33.64 degrees
Last column: nearest neighbours and their distance in Å.
Element x y z (fractional)
Pt 0.7500 0.7500 0.7500  6 Os 2.70-2.74, 2 Pt 2.70, 4 Co 2.70
Os 0.5046 0.5046 0.4872  6 Os 2.61-2.79, 3 Co 2.64-2.70, 3 Pt 2.70-2.74
Os 0.9954 0.9954 0.0128  6 Os 2.61-2.79, 3 Co 2.64-2.70, 3 Pt 2.70-2.74
Co 0.2500 0.2500 0.2500  6 Os 2.64-2.70, 2 Co 2.70, 4 Pt 2.70

---

# 3
Compound: CoOs2Pt
Source: Alexandria via LeMat-Bulk
Functional: GGA-PBE
Structure: optimized geometry

Calculated values
Energy above the most stable polymorph in this dataset ... 0.118 eV/atom
Size of the total moment ... 1.453 μB/f.u.
Uncorrected energy ... -8.69 eV/atom
DFT formation energy ... 0.83 eV/f.u.
Symmetry ... I4/mmm

Cell lengths 4.7032, 4.7032, 4.7032 Å; angles 132.65, 132.65, 69.21 degrees
Last column: nearest neighbours and their distance in Å.
Element x y z (fractional)
Os 0.5000 0.5000 0.0000  4 Os 2.67, 4 Pt 2.70, 4 Co 2.70
Os 0.0000 0.0000 0.0000  4 Os 2.67, 4 Co 2.70, 4 Pt 2.70
Co 0.7500 0.2500 0.5000  4 Pt 2.67, 8 Os 2.70
Pt 0.2500 0.7500 0.5000  4 Co 2.67, 8 Os 2.70

---

# 4
Compound: CoOsPt3
Source: Alexandria via LeMat-Bulk
Functional: GGA-PBE
Structure: optimized geometry

Calculated values
Energy above the most stable polymorph in this dataset ... 0.000 eV/atom
Size of the total moment ... 5.071 μB/f.u.
Uncorrected energy ... -5.75 eV/atom
DFT formation energy ... 7.72 eV/f.u.
Symmetry ... Pm-3m

Cell lengths 4.4817, 4.4817, 4.4817 Å; angles 90.00, 90.00, 90.00 degrees
Last column: nearest neighbours and their distance in Å.
Element x y z (fractional)
Co 0.0000 0.0000 0.0000  6 Pt 2.24
Pt 0.5000 0.0000 0.0000  2 Co 2.24
Pt 0.0000 0.0000 0.5000  2 Co 2.24
Pt 0.0000 0.5000 0.0000  2 Co 2.24
Os 0.5000 0.5000 0.5000  12 Pt 3.17